Record 1
{"formula": "LaAlCd2", "functional": "PBE-GGA", "state": "optimized geometry", "e_form_ev_per_atom": -0.044, "lattice_angstrom": [[6.3743, 0.0000, 0.0000], [0.0000, 11.2419, 0.0000], [-1.2103, 0.0000, 2.8070]], "species": ["La", "La", "Al", "Al", "Cd", "Cd", "Cd", "Cd"], "fractional_positions": [[0.0000, 0.0000, 0.0000], [0.5000, 0.5000, 0.0000], [0.0000, 0.5000, 0.0000], [0.5000, 0.0000, 0.0000], [0.2500, 0.2500, 0.5000], [0.2500, 0.7500, 0.5000], [0.7500, 0.2500, 0.5000], [0.7500, 0.7500, 0.5000]]}

***

Record 2
{"formula": "PmCuPb2", "functional": "PBE-GGA", "state": "optimized geometry", "e_form_ev_per_atom": -0.119, "lattice_angstrom": [[4.6306, 0.0000, 0.0000], [-2.3153, 4.0102, 0.0000], [0.0000, 0.0000, 16.7357]], "species": ["Pm", "Pm", "Pm", "Cu", "Cu", "Cu", "Pb", "Pb", "Pb", "Pb", "Pb", "Pb"], "fractional_positions": [[0.0000, 0.0000, 0.0000], [0.3333, 0.6667, 0.6667], [0.6667, 0.3333, 0.3333], [0.0000, 0.0000, 0.5000], [0.3333, 0.6667, 0.1667], [0.6667, 0.3333, 0.8333], [0.0000, 0.0000, 0.2281], [0.0000, 0.0000, 0.7719], [0.3333, 0.6667, 0.4386], [0.3333, 0.6667, 0.8948], [0.6667, 0.3333, 0.1052], [0.6667, 0.3333, 0.5614]]}

***

Record 3
{"formula": "Be2SnHgAu", "functional": "PBE-GGA", "state": "optimized geometry", "e_form_ev_per_atom": 0.520, "lattice_angstrom": [[4.4760, 0.0000, 0.0000], [0.0000, 4.4760, 0.0000], [0.0000, 0.0000, 5.3559]], "species": ["Be", "Be", "Sn", "Hg", "Au"], "fractional_positions": [[0.0000, 0.5000, 0.0000], [0.5000, 0.0000, 0.0000], [0.0000, 0.0000, 0.5000], [0.5000, 0.5000, 0.5000], [0.5000, 0.5000, 0.0000]]}

***

Record 4
{"formula": "K2Hg2Bi", "functional": "PBE-GGA", "state": "optimized geometry", "e_form_ev_per_atom": -0.271, "lattice_angstrom": [[8.1680, 0.0000, 0.0000], [0.0000, 8.1680, 0.0000], [0.0000, 0.0000, 5.3776]], "species": ["K", "K", "K", "K", "Hg", "Hg", "Hg", "Hg", "Bi", "Bi"], "fractional_positions": [[0.1803, 0.3197, 0.0000], [0.3197, 0.8197, 0.0000], [0.6803, 0.1803, 0.0000], [0.8197, 0.6803, 0.0000], [0.1304, 0.6304, 0.5000], [0.3696, 0.1304, 0.5000], [0.6304, 0.8696, 0.5000], [0.8696, 0.3696, 0.5000], [0.0000, 0.0000, 0.5000], [0.5000, 0.5000, 0.5000]]}

***

Record 5
{"formula": "LaSc2Rh", "functional": "PBE-GGA", "state": "optimized geometry", "e_form_ev_per_atom": -0.325, "lattice_angstrom": [[3.4592, 0.0000, 0.0000], [0.0000, 3.4592, 0.0000], [0.0000, 0.0000, 8.0907]], "species": ["La", "Sc", "Sc", "Rh"], "fractional_positions": [[0.0000, 0.0000, 0.0000], [0.0000, 0.0000, 0.4029], [0.5000, 0.5000, 0.6730], [0.5000, 0.5000, 0.2503]]}

***

Record 6
{"formula": "Tm2ThTe", "functional": "PBE-GGA", "state": "optimized geometry", "total_energy_ev_per_atom": -5.40, "lattice_angstrom": [[3.8053, 0.0000, 0.0000], [0.0000, 5.8676, 0.0000], [0.0000, 0.0000, 10.8922]], "species": ["Tm", "Tm", "Tm", "Tm", "Th", "Th", "Te", "Te"], "fractional_positions": [[0.2500, 0.2500, 0.1662], [0.2500, 0.2500, 0.7215], [0.7500, 0.7500, 0.2785], [0.7500, 0.7500, 0.8338], [0.2500, 0.7500, 0.5458], [0.7500, 0.2500, 0.4542], [0.2500, 0.7500, 0.0626], [0.7500, 0.2500, 0.9374]]}

***

no.,total magnetic moment (μB/atom)
1,0.000
2,0.000
3,0.000
4,0.000
5,0.212
6,0.000